[1]
A relaxed K2Cd2F5 crystal. Source: Alexandria, functional PBE.

Cell lengths 12.508, 4.552, 7.125 Å; angles 90.00, 124.28, 90.00 degrees
Space group C2/m (No. 12)
One atom of each set of equivalent atoms:
1 K 0.125 0.000 0.463 [4 per cell]
2 Cd 0.115 0.500 0.910 [4 per cell]
3 F 0.000 0.500 0.500 [2 per cell]
4 F 0.118 0.500 0.239 [4 per cell]
5 F 0.139 0.000 0.868 [4 per cell]

Computed properties:
Raw formation energy (eV/atom): -2.218
Calculated density (g/cm3): 3.943


[2]
A relaxed Zr3Ti2Cu3 crystal. Source: Alexandria, functional PBE.

Cell lengths 3.136, 4.696, 19.021 Å; angles 90.00, 90.00, 90.00 degrees
Space group Immm (No. 71)
One atom of each set of equivalent atoms:
1 Zr 0.000 0.000 0.000 [2 per cell]
2 Zr 0.000 0.500 0.126 [4 per cell]
3 Ti 0.000 0.000 0.241 [4 per cell]
4 Cu 0.000 0.000 0.500 [2 per cell]
5 Cu 0.000 0.500 0.371 [4 per cell]

Computed properties:
Calculated formation energy (eV per atom): -0.075
Calculated density (g/cm3): 6.641


[3]
A relaxed DyMgRuAu crystal. Source: Alexandria, functional PBE.

Cell lengths 6.734, 6.734, 6.734 Å; angles 90.00, 90.00, 90.00 degrees
Space group F-43m (No. 216)
One atom of each set of equivalent atoms:
1 Dy 0.000 0.000 0.000 [4 per cell]
2 Mg 0.000 0.000 0.500 [4 per cell]
3 Ru 0.250 0.250 0.250 [4 per cell]
4 Au 0.250 0.250 0.750 [4 per cell]

Computed properties:
Calculated formation energy (eV per atom): -0.382
Calculated density (g/cm3): 10.545


[4]
A relaxed BaSrSb2Te crystal. Source: Alexandria, functional PBE.

Cell lengths 5.992, 5.992, 6.101 Å; angles 90.00, 90.00, 90.00 degrees
Space group P4/mmm (No. 123)
One atom of each set of equivalent atoms:
1 Ba 0.000 0.000 0.000 [1 per cell]
2 Sr 0.500 0.500 0.500 [1 per cell]
3 Sb 0.000 0.500 0.500 [2 per cell]
4 Te 0.500 0.500 0.000 [1 per cell]

Computed properties:
Raw formation energy (eV/atom): -0.284
Energy relative to the lowest polymorph listed for this composition (kJ per mole of atoms): 0.0
Calculated density (g/cm3): 4.519